Record 1
Entry from the Alexandria database: a relaxed ZrAlRePb2 crystal (PBE-GGA).

Geometry as POSCAR:
```
ZrAlRePb2
1.0
5.675 0.000 0.000
0.000 5.675 0.000
0.000 0.000 4.979
Zr Al Re Pb
1 1 1 2
Cartesian
0.000 0.000 0.000
2.837 2.837 2.490
0.000 0.000 2.490
0.000 2.837 0.000
2.837 0.000 0.000
```

Crystal system   tetragonal
Energy relative to the elements   1.33 eV per atom

Record 2
Entry from the Alexandria database: a relaxed AlRh4Pb crystal (PBE-GGA).

Geometry as POSCAR:
```
AlRh4Pb
1.0
0.000 3.708 3.708
3.708 0.000 3.708
3.708 3.708 0.000
Al Rh Pb
1 4 1
Cartesian
0.000 0.000 0.000
2.779 2.779 2.779
4.638 4.638 2.779
4.638 2.779 4.638
2.779 4.638 4.638
5.563 5.563 5.563
```

Crystal system   cubic
Energy relative to the elements   0.09 eV per atom

Record 3
Entry from the Alexandria database: a relaxed AlRhPb3 crystal (PBE-GGA).

Geometry as POSCAR:
```
AlRhPb3
1.0
5.298 0.000 0.000
0.000 5.298 0.000
0.000 0.000 5.298
Al Rh Pb
1 1 3
Cartesian
0.000 0.000 0.000
2.649 2.649 2.649
0.000 2.649 2.649
2.649 0.000 2.649
2.649 2.649 0.000
```

Crystal system   cubic
Energy relative to the elements   0.29 eV per atom
Energy above the most stable polymorph in this dataset   0.0000 eV/atom

Record 4
Entry from the Alexandria database: a relaxed Al3RhPb crystal (PBE-GGA).

Geometry as POSCAR:
```
Al3RhPb
1.0
4.776 0.000 0.000
0.000 4.776 0.000
0.000 0.000 4.776
Al Rh Pb
3 1 1
Cartesian
0.000 0.000 2.388
0.000 2.388 0.000
2.388 0.000 0.000
0.000 0.000 0.000
2.388 2.388 2.388
```

Crystal system   cubic
Energy relative to the elements   -0.12 eV per atom
Energy above the most stable polymorph in this dataset   0.0000 eV/atom

Fermi-level density of states per entry: 4.8, 9.0, 2.2, 2.7 states/eV/f.u.
M_tot per entry: 0.43, 0.00, 0.00, 0.00 μB/atom